This record from the Alexandria database describes a geometry-optimized Hf2CoF11 structure. The functional is PBE with a Hubbard U.

Summary:
V   787.0 Å³ per cell
Crystal system   orthorhombic

Cell: 7.916 9.734 10.215 Å, 90.00 90.00 90.00°
Space group Ibam (No. 72)
Inequivalent atoms, fractional coordinates:
Hf (0.113, 0.192, 0.000) (multiplicity 8)
Co (0.000, 0.500, 0.250) (multiplicity 4)
F (0.000, 0.000, 0.000) (multiplicity 4)
F (0.075, 0.372, 0.130) (multiplicity 16)
F (0.145, 0.219, 0.500) (multiplicity 8)
F (0.209, 0.113, 0.157) (multiplicity 16)

=====

This record from the Alexandria database describes a geometry-optimized HfIn2CoF structure. The functional is PBE with a Hubbard U.

Summary:
DOS at the Fermi energy   0.54 states/eV per atom
V   104.9 Å³ per cell
Crystal system   tetragonal

Cell: 5.165 5.165 3.931 Å, 90.00 90.00 90.00°
Space group P4/mmm (No. 123)
Inequivalent atoms, fractional coordinates:
Hf (0.000, 0.000, 0.000) (multiplicity 1)
In (0.000, 0.500, 0.500) (multiplicity 2)
Co (0.500, 0.500, 0.000) (multiplicity 1)
F (0.500, 0.500, 0.500) (multiplicity 1)

=====

This record from the Alexandria database describes a geometry-optimized LaHfCo2F structure. The functional is PBE with a Hubbard U.

Summary:
DOS at the Fermi energy   0.64 states/eV per atom
V   124.9 Å³ per cell
Crystal system   tetragonal

Cell: 4.454 4.454 6.294 Å, 90.00 90.00 90.00°
Space group P4/mmm (No. 123)
Inequivalent atoms, fractional coordinates:
La (0.000, 0.000, 0.000) (multiplicity 1)
Hf (0.000, 0.000, 0.500) (multiplicity 1)
Co (0.000, 0.500, 0.500) (multiplicity 2)
F (0.500, 0.500, 0.000) (multiplicity 1)

=====

Here are the calculated energy numbers, same order: -6.438; -4.636; -4.866 (eV per atom).